A plane-wave DFT calculation with PBE was carried out for a relaxed LuCu4Ni crystal.

Values from the calculation:
Its total energy is -4.63 eV per atom. The total magnetization comes out at 0.0 μB/cell. The value obtained for the energy of formation from the pure elements is -0.1772 eV per atom.

Cell and atoms, written as CIF:
```
data_LuCu4Ni
_space_group_name_H-M_alt 'F -4 3 m'
_space_group_IT_number 216
_space_group_name_Hall 'F -4 2 3'
_cell_length_a 6.932
_cell_length_b 6.932
_cell_length_c 6.932
_cell_angle_alpha 90.00
_cell_angle_beta 90.00
_cell_angle_gamma 90.00
loop_
_atom_site_label
_atom_site_type_symbol
_atom_site_fract_x
_atom_site_fract_y
_atom_site_fract_z
Lu1 Lu 0.000 0.000 0.000
Cu1 Cu 0.124 0.124 0.624
Ni1 Ni 0.250 0.250 0.250
```